LiLa2V: optimized geometry, PBE.

Computed properties:
DFT total energy in eV per atom: -4.944
E above lowest polymorph in eV/atom: 0.000

abc: 7.5382 7.5382 7.5382
angles: 90.00 90.00 90.00
Space group Fm-3m (No. 225)
Unique sites:
Li  0.0000  0.0000  0.0000
La  0.2500  0.2500  0.2500
V  0.0000  0.0000  0.5000

***

Li2LaV: optimized geometry, PBE.

Computed properties:
DFT total energy in eV per atom: -3.983
E above lowest polymorph in eV/atom: 0.000

abc: 7.0808 7.0808 7.0808
angles: 90.00 90.00 90.00
Space group Fm-3m (No. 225)
Unique sites:
Li  0.2500  0.2500  0.2500
La  0.0000  0.0000  0.0000
V  0.0000  0.0000  0.5000

***

Li2LaV: optimized geometry, PBE.

Computed properties:
DFT total energy in eV per atom: -3.895
E above lowest polymorph in eV/atom: 0.088

abc: 4.2147 4.2147 22.0271
angles: 90.00 90.00 90.00
Space group I-42d (No. 122)
Unique sites:
Li  0.1870  0.7500  0.1250
La  0.0000  0.0000  0.5000
V  0.0000  0.0000  0.0000

***

LiLa2V: optimized geometry, PBE.

Computed properties:
DFT total energy in eV per atom: -4.605
E above lowest polymorph in eV/atom: 0.339

abc: 3.2775 3.2775 34.7734
angles: 90.00 90.00 120.00
Space group R-3m (No. 166, hexagonal axes)
Unique sites:
Li  0.0000  0.0000  0.0000
La  0.0000  0.0000  0.4224
V  0.0000  0.0000  0.5000

***

Li4LaV2: optimized geometry, PBE.

Computed properties:
DFT total energy in eV per atom: -3.452

abc: 5.1489 5.1489 14.1989
angles: 90.00 90.00 90.00
Space group I4/mmm (No. 139)
Unique sites:
Li  0.0000  0.0000  0.2361
Li  0.0000  0.5000  0.0000
La  0.0000  0.0000  0.0000
V  0.0000  0.0000  0.4339

***

LiLaVW2: optimized geometry, PBE.

Computed properties:
DFT total energy in eV per atom: -7.429

abc: 4.5802 4.5802 5.0646
angles: 90.00 90.00 90.00
Space group P4/mmm (No. 123)
Unique sites:
Li  0.0000  0.0000  0.0000
La  0.5000  0.5000  0.0000
V  0.0000  0.0000  0.5000
W  0.0000  0.5000  0.5000

***

Record-wise ΔH_f (0 K) values, in eV per formula unit: 1.1 1.9 2.3 2.5 6.7 4.7